## PrGdCoOs (PBE)

Data for a geometry-optimized PrGdCoOs structure.

## Properties
DFT total energy   -9.231 eV/atom

a b c (Å): 4.922 4.922 4.922
angles (deg): 60.00 60.00 60.00
Element x y z (fractional)
Pr1 0.500 0.500 0.500
Co1 0.750 0.750 0.750
Gd1 0.000 0.000 0.000
Os1 0.250 0.250 0.250